MgTlMo2 | GGA-PBEsol | relaxed

abc: 3.892 3.892 4.538
angles: 90.00 90.00 90.00
Element x y z (fractional)
1 Mg 0.000 0.000 0.500
2 Tl 0.500 0.500 0.500
3 Mo 0.500 0.000 0.000
4 Mo 0.000 0.500 0.000

Computed properties:
* space group: P4/mmm
* energy relative to the lowest polymorph listed for this composition: 0 meV/atom
* formation enthalpy at 0 K: 203 kJ/mol of formula units
* magnetic moment: 0.00 μB/cell

Mg2MoW | GGA-PBEsol | relaxed

abc: 2.699 4.306 5.886
angles: 90.00 90.00 90.00
Element x y z (fractional)
1 Mo 0.000 0.000 0.523
2 Mg 0.500 0.500 0.249
3 Mg 0.000 0.000 0.000
4 W 0.500 0.500 0.729

Computed properties:
* space group: Pmm2
* formation enthalpy at 0 K: 185 kJ/mol of formula units
* magnetic moment: 0.00 μB/cell

MgMoW2 | GGA-PBEsol | relaxed

abc: 2.632 4.427 5.503
angles: 90.00 90.00 90.00
Element x y z (fractional)
1 W 0.500 0.500 0.249
2 W 0.000 0.000 0.002
3 Mo 0.500 0.500 0.748
4 Mg 0.000 0.000 0.501

Computed properties:
* space group: Pmm2
* formation enthalpy at 0 K: 182 kJ/mol of formula units
* magnetic moment: 0.00 μB/cell

Y2MgMo | GGA-PBEsol | relaxed

abc: 3.239 5.372 5.902
angles: 108.17 105.92 90.00
Element x y z (fractional)
1 Y 0.971 0.936 0.942
2 Y 0.764 0.290 0.528
3 Mg 0.532 0.486 0.064
4 Mo 0.233 0.789 0.466

Computed properties:
* space group: Cm
* formation enthalpy at 0 K: 129 kJ/mol of formula units
* magnetic moment: 0.00 μB/cell

YMgMo3 | GGA-PBEsol | relaxed

abc: 4.668 4.668 4.668
angles: 90.00 90.00 90.00
Element x y z (fractional)
1 Mo 0.000 0.000 0.500
2 Mo 0.000 0.500 0.000
3 Mo 0.500 0.000 0.000
4 Mg 0.000 0.000 0.000
5 Y 0.500 0.500 0.500

Computed properties:
* space group: Pm-3m
* formation enthalpy at 0 K: 885 kJ/mol of formula units
* magnetic moment: 0.01 μB/cell

Y2MgMo | GGA-PBEsol | relaxed

abc: 4.064 4.712 5.663
angles: 114.58 111.03 90.00
Element x y z (fractional)
1 Y 0.991 0.991 0.982
2 Y 0.759 0.259 0.519
3 Mg 0.519 0.519 0.038
4 Mo 0.231 0.731 0.461

Computed properties:
* space group: Imm2
* formation enthalpy at 0 K: 130 kJ/mol of formula units
* magnetic moment: 0.00 μB/cell

Y2MgMo | GGA-PBEsol | relaxed

abc: 3.246 3.863 7.456
angles: 90.00 90.00 90.00
Element x y z (fractional)
1 Mg 0.000 0.000 0.542
2 Y 0.000 0.000 0.950
3 Y 0.500 0.500 0.294
4 Mo 0.500 0.500 0.714

Computed properties:
* space group: Pmm2
* formation enthalpy at 0 K: 146 kJ/mol of formula units
* magnetic moment: 0.00 μB/cell

Y2MgMo2 | GGA-PBEsol | relaxed

abc: 3.556 3.556 10.160
angles: 100.08 100.08 90.00
Element x y z (fractional)
1 Mo 0.750 0.250 0.500
2 Mo 0.250 0.750 0.500
3 Mg 0.000 0.000 0.000
4 Y 0.378 0.378 0.756
5 Y 0.622 0.622 0.244

Computed properties:
* space group: I4/mmm
* formation enthalpy at 0 K: 199 kJ/mol of formula units
* magnetic moment: 0.00 μB/cell

Results for E_tot: -6.44, -6.77, -9.80, -6.45, -6.93, -6.44, -6.40, -7.37 (in eV/atom, following the order of the records).
Results for DOS(E_F): 3.30, 2.65, 2.86, 4.47, 9.11, 3.04, 3.68, 5.26 (in states/eV per cell, following the order of the records).